1.
# KSrCuCl4

A relaxed structure of KSrCuCl4 (PBE, Alexandria).

Cell: 6.7417 6.9197 8.6904 Å, 90.00 108.35 90.00°
Element x y z (fractional)
K 0.2453 0.2500 0.4391
K 0.7547 0.7500 0.5609
Sr 0.2694 0.2500 0.9447
Sr 0.7306 0.7500 0.0553
Cu 0.2707 0.7500 0.1873
Cu 0.7293 0.2500 0.8127
Cl 0.0653 0.7500 0.9137
Cl 0.0738 0.7500 0.3590
Cl 0.4900 0.5043 0.7743
Cl 0.4900 0.9957 0.7743
Cl 0.5100 0.0043 0.2257
Cl 0.5100 0.4957 0.2257
Cl 0.9262 0.2500 0.6410
Cl 0.9347 0.2500 0.0863

Summary:
V = 27.49 A^3/atom

***

2.
# KSr3Cu4Cl12

A relaxed structure of KSr3Cu4Cl12 (PBE, Alexandria).

Cell: 9.0382 9.0382 9.0382 Å, 104.69 104.69 104.69°
Element x y z (fractional)
K 0.0000 0.0000 0.0000
Sr 0.0000 0.5512 0.4488
Sr 0.4488 0.0000 0.5512
Sr 0.5512 0.4488 0.0000
Cu 0.0630 0.5000 0.9370
Cu 0.5000 0.5000 0.5000
Cu 0.5000 0.9370 0.0630
Cu 0.9370 0.0630 0.5000
Cl 0.0145 0.6491 0.7848
Cl 0.0979 0.9021 0.5000
Cl 0.2152 0.3509 0.9855
Cl 0.3451 0.6549 0.5000
Cl 0.3509 0.9855 0.2152
Cl 0.5000 0.0979 0.9021
Cl 0.5000 0.3451 0.6549
Cl 0.6491 0.7849 0.0145
Cl 0.6549 0.5000 0.3451
Cl 0.7849 0.0145 0.6491
Cl 0.9021 0.5000 0.0979
Cl 0.9855 0.2152 0.3509

Summary:
V = 32.49 A^3/atom

***

3.
# K2SrCu2Cl6

A relaxed structure of K2SrCu2Cl6 (PBE, Alexandria).

Cell: 7.4063 7.4063 7.7506 Å, 115.50 115.50 60.87°
Element x y z (fractional)
K 0.2281 0.2281 0.1890
K 0.7719 0.7719 0.8110
Sr 0.0000 0.0000 0.5000
Cu 0.4549 0.4549 0.7880
Cu 0.5451 0.5451 0.2120
Cl 0.1879 0.6813 0.1802
Cl 0.2528 0.2528 0.6154
Cl 0.3187 0.8121 0.8198
Cl 0.6813 0.1879 0.1802
Cl 0.7472 0.7472 0.3846
Cl 0.8121 0.3187 0.8198

Summary:
V = 29.25 A^3/atom

***

4.
# KSrCuCl5

A relaxed structure of KSrCuCl5 (PBE, Alexandria).

Cell: 7.5800 7.5800 10.3206 Å, 102.06 102.06 111.70°
Element x y z (fractional)
K 0.1654 0.8346 0.7500
K 0.8346 0.1654 0.2500
Sr 0.5000 0.5000 0.0000
Sr 0.5000 0.5000 0.5000
Cu 0.1709 0.8291 0.2500
Cu 0.8291 0.1709 0.7500
Cl 0.0860 0.1894 0.9194
Cl 0.1894 0.0860 0.4194
Cl 0.1979 0.6279 0.3821
Cl 0.3721 0.8021 0.1179
Cl 0.4086 0.5914 0.7500
Cl 0.5914 0.4086 0.2500
Cl 0.6279 0.1979 0.8821
Cl 0.8021 0.3721 0.6179
Cl 0.8106 0.9140 0.5806
Cl 0.9140 0.8106 0.0806

Summary:
V = 31.96 A^3/atom

***

5.
# K2SrCuCl5

A relaxed structure of K2SrCuCl5 (PBE, Alexandria).

Cell: 9.4994 9.4994 13.3406 Å, 90.00 90.00 154.39°
Element x y z (fractional)
K 0.1072 0.8928 0.5000
K 0.1186 0.8814 0.1604
K 0.8814 0.1186 0.6604
K 0.8928 0.1072 0.0000
Sr 0.1921 0.8079 0.8469
Sr 0.8079 0.1921 0.3469
Cu 0.4500 0.5500 0.2395
Cu 0.5500 0.4500 0.7395
Cl 0.0354 0.9646 0.8205
Cl 0.2989 0.7011 0.4952
Cl 0.3174 0.6826 0.1960
Cl 0.3457 0.6543 0.8325
Cl 0.4965 0.5035 0.5856
Cl 0.5035 0.4965 0.0856
Cl 0.6543 0.3457 0.3325
Cl 0.6826 0.3174 0.6960
Cl 0.7011 0.2989 0.9952
Cl 0.9646 0.0354 0.3205

Summary:
V = 28.91 A^3/atom

***

6.
# KSrCu2Cl8

A relaxed structure of KSrCu2Cl8 (PBE, Alexandria).

Cell: 8.2370 8.2370 8.2370 Å, 129.75 129.75 73.81°
Element x y z (fractional)
K 0.0000 0.0000 0.0000
Sr 0.2500 0.7500 0.5000
Cu 0.5000 0.5000 0.0000
Cu 0.7500 0.2500 0.5000
Cl 0.0058 0.3517 0.9242
Cl 0.2220 0.4697 0.6378
Cl 0.4158 0.7780 0.2477
Cl 0.4275 0.0816 0.0758
Cl 0.5303 0.1681 0.7523
Cl 0.6483 0.5725 0.6541
Cl 0.8319 0.5842 0.3622
Cl 0.9184 0.9942 0.3459

Summary:
V = 26.86 A^3/atom

***

7.
# KTbCuCl5

A relaxed structure of KTbCuCl5 (PBE, Alexandria).

Cell: 7.3466 7.3466 9.9645 Å, 103.42 103.42 107.13°
Element x y z (fractional)
K 0.1491 0.8509 0.7500
K 0.8509 0.1491 0.2500
Tb 0.5000 0.5000 0.0000
Tb 0.5000 0.5000 0.5000
Cu 0.1883 0.8117 0.2500
Cu 0.8117 0.1883 0.7500
Cl 0.1202 0.2531 0.9265
Cl 0.1874 0.5915 0.3848
Cl 0.2531 0.1202 0.4265
Cl 0.4085 0.8126 0.1152
Cl 0.4167 0.5833 0.7500
Cl 0.5833 0.4167 0.2500
Cl 0.5915 0.1874 0.8848
Cl 0.7469 0.8798 0.5735
Cl 0.8126 0.4085 0.6152
Cl 0.8798 0.7469 0.0735

Summary:
V = 29.57 A^3/atom

***

8.
# KTbCuCl6

A relaxed structure of KTbCuCl6 (PBE, Alexandria).

Cell: 6.5513 6.5513 7.0423 Å, 93.08 93.08 114.22°
Element x y z (fractional)
K 0.0000 0.0000 0.0000
Tb 0.3382 0.6618 0.5000
Cu 0.6871 0.3129 0.5000
Cl 0.0097 0.3423 0.6747
Cl 0.0262 0.6142 0.2415
Cl 0.3858 0.9738 0.7585
Cl 0.4184 0.3429 0.2919
Cl 0.6571 0.5816 0.7081
Cl 0.6577 0.9903 0.3253

Summary:
V = 30.48 A^3/atom

***

no.,magnetization (μB/cell),formation energy from raw total energies (kJ/mol of atoms)
1,0.3,-167
2,1.1,-144
3,0.2,-147
4,2.1,-151
5,0.0,-172
6,0.8,-108
7,0.3,-168
8,1.0,-156